! MnGaAgF6 | Alexandria via LeMat-Bulk | PBE with a Hubbard U | relaxed; values from VASP
! - V: 14.9 A^3/atom
! - Final energy: -90.4 eV per cell
! - Symmetry: P-31c (163)
! - Calculated density: 4.305 g/cm3
&SYSTEM
  ibrav = 0, nat = 18, ntyp = 4
/
ATOMIC_SPECIES
Mn 54.94 Mn.upf
Ga 69.72 Ga.upf
Ag 107.87 Ag.upf
F 19.00 F.upf
CELL_PARAMETERS angstrom
-4.4011 3.1112 -1.0912
1.1593 -1.3995 5.1901
5.6983 8.4097 0.9949
ATOMIC_POSITIONS angstrom
Mn 0.7304 2.2065 3.3450
Mn 1.7261 7.9149 1.7487
Ga -1.1230 3.7100 1.2513
Ga 3.5796 6.4113 3.8425
Ag 0.0000 0.0000 0.0000
Ag 2.8491 4.2048 0.4974
F -1.2917 2.3624 2.6267
F -3.0302 3.7402 0.9383
F 3.2300 5.1779 5.2890
F 5.4867 6.3812 4.1554
F 0.7348 3.6873 1.7842
F -1.5378 5.1451 2.4780
F 3.2965 7.7396 5.2179
F -0.7735 4.9435 -0.1953
F 3.9943 4.9763 2.6158
F -0.8400 2.3818 -0.1241
F 1.7217 6.4340 3.3096
F 3.7482 7.7589 2.4671